# Te4OsRh

Crystalline Te4OsRh at its relaxed geometry (GGA-PBE, Alexandria).

Geometry as POSCAR:
```
Te4OsRh
1.0
6.493 0.000 0.000
0.000 6.507 0.000
-0.009 0.000 6.506
Te Os Rh
8 2 2
direct
0.126 0.131 0.132
0.126 0.369 0.632
0.367 0.629 0.128
0.367 0.871 0.628
0.633 0.129 0.372
0.633 0.371 0.872
0.874 0.631 0.368
0.874 0.869 0.868
0.000 0.000 0.500
0.000 0.500 0.000
0.500 0.000 0.000
0.500 0.500 0.500
```

* energy: -65.05 eV for the cell shown
* magnetization: 0.0 Bohr magnetons per cell
* distance to the lowest polymorph of the same formula: 0.000 eV/atom
* energy relative to the elements, uncorrected: -1.38 eV/f.u.

***

# TeOsRh2

Crystalline TeOsRh2 at its relaxed geometry (GGA-PBE, Alexandria).

Geometry as POSCAR:
```
TeOsRh2
1.0
3.789 0.000 0.000
0.000 4.130 0.000
0.000 0.000 8.163
Te Os Rh
2 2 4
direct
0.000 0.000 0.000
0.500 0.500 0.500
0.000 0.000 0.500
0.500 0.500 0.000
0.000 0.500 0.264
0.000 0.500 0.736
0.500 0.000 0.236
0.500 0.000 0.764
```

* energy: -54.94 eV for the cell shown
* magnetization: 0.0 Bohr magnetons per cell
* energy relative to the elements, uncorrected: 1.60 eV/f.u.

***

# TeOs2Rh

Crystalline TeOs2Rh at its relaxed geometry (GGA-PBE, Alexandria).

Geometry as POSCAR:
```
TeOs2Rh
1.0
9.046 0.000 0.000
0.000 2.931 0.000
-1.024 0.000 4.911
Te Os Rh
2 4 2
direct
0.000 0.000 0.000
0.500 0.500 0.000
0.248 0.000 0.719
0.252 0.500 0.281
0.748 0.500 0.719
0.752 0.000 0.281
0.000 0.500 0.500
0.500 0.000 0.500
```

* energy: -61.27 eV for the cell shown
* magnetization: 0.0 Bohr magnetons per cell
* energy relative to the elements, uncorrected: 2.32 eV/f.u.

***

# TeOs2Rh

Crystalline TeOs2Rh at its relaxed geometry (GGA-PBE, Alexandria).

Geometry as POSCAR:
```
TeOs2Rh
1.0
2.838 0.000 0.000
0.000 4.895 0.000
0.000 0.000 9.710
Te Os Rh
2 4 2
direct
0.000 0.000 0.000
0.500 0.500 0.000
0.000 0.500 0.268
0.000 0.500 0.732
0.500 0.000 0.268
0.500 0.000 0.732
0.000 0.000 0.500
0.500 0.500 0.500
```

* energy: -57.57 eV for the cell shown
* magnetization: 0.0 Bohr magnetons per cell
* energy relative to the elements, uncorrected: 4.17 eV/f.u.

***

# TeOs2Rh

Crystalline TeOs2Rh at its relaxed geometry (GGA-PBE, Alexandria).

Geometry as POSCAR:
```
TeOs2Rh
1.0
5.788 0.000 0.000
0.000 7.371 0.000
0.000 0.000 2.984
Te Os Rh
2 4 2
direct
0.000 0.000 0.000
0.500 0.500 0.000
0.250 0.250 0.500
0.250 0.750 0.500
0.750 0.250 0.500
0.750 0.750 0.500
0.000 0.500 0.000
0.500 0.000 0.000
```

* energy: -60.29 eV for the cell shown
* magnetization: 0.0 Bohr magnetons per cell
* energy relative to the elements, uncorrected: 2.81 eV/f.u.

***

# TeOsRh2

Crystalline TeOsRh2 at its relaxed geometry (GGA-PBE, Alexandria).

Geometry as POSCAR:
```
TeOsRh2
1.0
2.979 0.000 0.000
-1.489 2.580 0.000
0.000 0.000 25.708
Te Os Rh
3 3 6
direct
0.000 0.000 0.000
0.333 0.667 0.667
0.667 0.333 0.333
0.000 0.000 0.753
0.333 0.667 0.419
0.667 0.333 0.086
0.000 0.000 0.251
0.000 0.000 0.498
0.333 0.667 0.165
0.333 0.667 0.918
0.667 0.333 0.585
0.667 0.333 0.831
```

* energy: -80.73 eV for the cell shown
* magnetization: 0.0 Bohr magnetons per cell
* energy relative to the elements, uncorrected: 2.16 eV/f.u.

***

# TeOsRh2

Crystalline TeOsRh2 at its relaxed geometry (GGA-PBE, Alexandria).

Geometry as POSCAR:
```
TeOsRh2
1.0
9.012 0.000 0.000
0.000 2.969 0.000
-0.996 0.000 4.856
Te Os Rh
2 2 4
direct
0.000 0.000 0.000
0.500 0.500 0.000
0.246 0.500 0.299
0.746 0.000 0.299
0.246 0.000 0.755
0.490 0.000 0.500
0.746 0.500 0.755
0.990 0.500 0.500
```

* energy: -55.47 eV for the cell shown
* magnetization: 0.0 Bohr magnetons per cell
* energy relative to the elements, uncorrected: 1.34 eV/f.u.

***

# TeOs2Rh

Crystalline TeOs2Rh at its relaxed geometry (GGA-PBE, Alexandria).

Geometry as POSCAR:
```
TeOs2Rh
1.0
2.930 0.000 0.000
0.000 2.930 0.000
0.000 0.000 7.715
Te Os Rh
1 2 1
direct
0.000 0.000 0.000
0.000 0.000 0.496
0.500 0.500 0.288
0.500 0.500 0.744
```

* energy: -30.99 eV for the cell shown
* magnetization: 0.0 Bohr magnetons per cell
* energy relative to the elements, uncorrected: 1.96 eV/f.u.

***

# TeOs2Rh

Crystalline TeOs2Rh at its relaxed geometry (GGA-PBE, Alexandria).

Geometry as POSCAR:
```
TeOs2Rh
1.0
3.843 0.000 0.000
0.000 4.764 0.000
-0.430 0.000 3.837
Te Os Rh
1 2 1
direct
0.000 0.000 0.000
0.287 0.500 0.716
0.713 0.500 0.284
0.500 0.000 0.500
```

* energy: -30.27 eV for the cell shown
* magnetization: 0.0 Bohr magnetons per cell
* energy relative to the elements, uncorrected: 2.68 eV/f.u.

***

# TeOs2Rh

Crystalline TeOs2Rh at its relaxed geometry (GGA-PBE, Alexandria).

Geometry as POSCAR:
```
TeOs2Rh
1.0
4.582 0.000 0.000
0.000 4.582 0.000
0.000 0.000 3.055
Te Os Rh
1 2 1
direct
0.000 0.000 0.000
0.000 0.500 0.500
0.500 0.000 0.500
0.500 0.500 0.000
```

* energy: -29.85 eV for the cell shown
* magnetization: 0.0 Bohr magnetons per cell
* energy relative to the elements, uncorrected: 3.10 eV/f.u.

***

# TeOs2Rh

Crystalline TeOs2Rh at its relaxed geometry (GGA-PBE, Alexandria).

Geometry as POSCAR:
```
TeOs2Rh
1.0
2.973 0.000 0.000
0.000 2.973 0.000
0.000 0.000 7.355
Te Os Rh
1 2 1
direct
0.000 0.000 0.000
0.500 0.500 0.264
0.500 0.500 0.736
0.000 0.000 0.500
```

* energy: -29.74 eV for the cell shown
* magnetization: 0.0 Bohr magnetons per cell
* energy relative to the elements, uncorrected: 3.21 eV/f.u.

***

# TeOs2Rh

Crystalline TeOs2Rh at its relaxed geometry (GGA-PBE, Alexandria).

Geometry as POSCAR:
```
TeOs2Rh
1.0
4.127 0.000 0.000
0.000 4.127 0.000
0.000 0.000 7.436
Te Os Rh
2 4 2
direct
0.000 0.000 0.000
0.500 0.500 0.500
0.000 0.500 0.250
0.000 0.500 0.750
0.500 0.000 0.250
0.500 0.000 0.750
0.000 0.000 0.500
0.500 0.500 0.000
```

* energy: -60.61 eV for the cell shown
* magnetization: 0.0 Bohr magnetons per cell
* energy relative to the elements, uncorrected: 2.65 eV/f.u.

***

# TeOs2Rh

Crystalline TeOs2Rh at its relaxed geometry (GGA-PBE, Alexandria).

Geometry as POSCAR:
```
TeOs2Rh
1.0
5.767 0.000 0.000
0.000 5.767 0.000
0.000 0.000 11.284
Te Os Rh
4 8 4
direct
0.000 0.000 0.000
0.000 0.500 0.250
0.500 0.000 0.750
0.500 0.500 0.500
0.226 0.250 0.625
0.250 0.726 0.875
0.250 0.774 0.375
0.274 0.250 0.125
0.726 0.750 0.125
0.750 0.226 0.375
0.750 0.274 0.875
0.774 0.750 0.625
0.000 0.000 0.500
0.000 0.500 0.750
0.500 0.000 0.250
0.500 0.500 0.000
```

* energy: -112.60 eV for the cell shown
* magnetization: 0.0 Bohr magnetons per cell
* energy relative to the elements, uncorrected: 4.80 eV/f.u.

***

# TeOs2Rh

Crystalline TeOs2Rh at its relaxed geometry (GGA-PBE, Alexandria).

Geometry as POSCAR:
```
TeOs2Rh
1.0
3.993 0.000 0.000
0.000 3.993 0.000
0.000 0.000 3.954
Te Os Rh
1 2 1
direct
0.000 0.000 0.000
0.000 0.500 0.500
0.500 0.000 0.500
0.500 0.500 0.000
```

* energy: -30.49 eV for the cell shown
* magnetization: 0.0 Bohr magnetons per cell
* energy relative to the elements, uncorrected: 2.46 eV/f.u.

***

# TeOs2Rh

Crystalline TeOs2Rh at its relaxed geometry (GGA-PBE, Alexandria).

Geometry as POSCAR:
```
TeOs2Rh
1.0
9.041 0.000 0.000
0.000 2.962 0.000
-0.848 0.000 4.852
Te Os Rh
2 4 2
direct
0.000 0.000 0.000
0.500 0.500 0.000
0.004 0.500 0.498
0.244 0.000 0.692
0.504 0.000 0.498
0.744 0.500 0.692
0.255 0.500 0.240
0.755 0.000 0.240
```

* energy: -61.55 eV for the cell shown
* magnetization: 0.0 Bohr magnetons per cell
* energy relative to the elements, uncorrected: 2.18 eV/f.u.

***

# TeOsRh2

Crystalline TeOsRh2 at its relaxed geometry (GGA-PBE, Alexandria).

Geometry as POSCAR:
```
TeOsRh2
1.0
3.025 0.000 0.000
0.000 3.025 0.000
0.000 0.000 7.177
Te Os Rh
1 1 2
direct
0.000 0.000 0.000
0.500 0.500 0.277
0.000 0.000 0.491
0.500 0.500 0.753
```

* energy: -27.24 eV for the cell shown
* magnetization: 0.0 Bohr magnetons per cell
* energy relative to the elements, uncorrected: 1.84 eV/f.u.

***

# Th6Te3Os2Rh

Crystalline Th6Te3Os2Rh at its relaxed geometry (GGA-PBE, Alexandria).

Geometry as POSCAR:
```
Th6Te3Os2Rh
1.0
9.804 -2.097 0.000
9.804 2.097 0.000
-3.060 0.000 8.560
Th Te Os Rh
6 3 2 1
direct
0.013 0.013 0.226
0.322 0.322 0.446
0.342 0.342 0.886
0.658 0.658 0.114
0.678 0.678 0.554
0.987 0.987 0.774
0.166 0.166 0.833
0.500 0.500 0.500
0.834 0.834 0.167
0.166 0.166 0.332
0.834 0.834 0.668
0.500 0.500 0.000
```

* energy: -94.79 eV for the cell shown
* magnetization: 0.0 Bohr magnetons per cell
* energy relative to the elements, uncorrected: -11.03 eV/f.u.

***

# Th3TeOsRh

Crystalline Th3TeOsRh at its relaxed geometry (GGA-PBE, Alexandria).

Geometry as POSCAR:
```
Th3TeOsRh
1.0
8.459 0.000 0.000
0.000 4.227 0.000
-4.223 0.000 9.174
Th Te Os Rh
6 2 2 2
direct
0.017 0.250 0.358
0.229 0.250 0.967
0.428 0.750 0.630
0.572 0.250 0.370
0.771 0.750 0.033
0.983 0.750 0.642
0.220 0.750 0.222
0.780 0.250 0.778
0.226 0.250 0.665
0.774 0.750 0.335
0.405 0.750 0.893
0.595 0.250 0.107
```

* energy: -96.57 eV for the cell shown
* magnetization: 0.0 Bohr magnetons per cell
* energy relative to the elements, uncorrected: -4.30 eV/f.u.

***

# Th4Te2OsRh

Crystalline Th4Te2OsRh at its relaxed geometry (GGA-PBE, Alexandria).

Geometry as POSCAR:
```
Th4Te2OsRh
1.0
7.252 0.000 0.000
0.000 4.196 0.000
-2.429 0.000 7.706
Th Te Os Rh
4 2 1 1
direct
0.230 0.000 0.201
0.262 0.500 0.799
0.738 0.500 0.201
0.770 0.000 0.799
0.000 0.000 0.500
0.500 0.500 0.500
0.000 0.500 0.000
0.500 0.000 0.000
```

* energy: -62.18 eV for the cell shown
* magnetization: 0.0 Bohr magnetons per cell
* energy relative to the elements, uncorrected: -7.64 eV/f.u.

***

# Th8Te4OsRh3

Crystalline Th8Te4OsRh3 at its relaxed geometry (GGA-PBE, Alexandria).

Geometry as POSCAR:
```
Th8Te4OsRh3
1.0
4.186 2.417 7.708
-4.186 2.417 7.708
0.000 -4.834 7.708
Th Te Os Rh
8 4 1 3
direct
0.234 0.234 0.234
0.238 0.732 0.732
0.268 0.268 0.762
0.268 0.762 0.268
0.732 0.238 0.732
0.732 0.732 0.238
0.762 0.268 0.268
0.766 0.766 0.766
0.000 0.000 0.000
0.000 0.500 0.500
0.500 0.000 0.500
0.500 0.500 0.000
0.500 0.500 0.500
0.000 0.000 0.500
0.000 0.500 0.000
0.500 0.000 0.000
```

* energy: -121.26 eV for the cell shown
* magnetization: 0.0 Bohr magnetons per cell
* energy relative to the elements, uncorrected: -16.05 eV/f.u.